Record 1
# SrNbSb2 | Alexandria via LeMat-Bulk | PBE-GGA | optimized geometry
data_SrNbSb2
_chemical_formula_sum 'Sr1 Nb1 Sb2'
_cell_length_a 5.255
_cell_length_b 5.255
_cell_length_c 5.255
_cell_angle_alpha 60.00
_cell_angle_beta 60.00
_cell_angle_gamma 60.00
_space_group_name_H-M_alt 'P 1'
_space_group_IT_number 1
loop_
_space_group_symop_operation_xyz
'x,y,z'
loop_
_atom_site_label
_atom_site_fract_x
_atom_site_fract_y
_atom_site_fract_z
_atom_site_occupancy
Sb1 0.250 0.250 0.250 1
Sb2 0.750 0.750 0.750 1
Nb1 0.500 0.500 0.500 1
Sr1 0.000 0.000 0.000 1
# Volume = 103 Å³ per cell
# Space-group type = Fm-3m (225)

Record 2
# SrNbSb2 | Alexandria via LeMat-Bulk | PBE-GGA | optimized geometry
data_SrNbSb2
_chemical_formula_sum 'Sr2 Nb2 Sb4'
_cell_length_a 8.094
_cell_length_b 8.094
_cell_length_c 6.848
_cell_angle_alpha 53.78
_cell_angle_beta 53.78
_cell_angle_gamma 90.00
_space_group_name_H-M_alt 'P 1'
_space_group_IT_number 1
loop_
_space_group_symop_operation_xyz
'x,y,z'
loop_
_atom_site_label
_atom_site_fract_x
_atom_site_fract_y
_atom_site_fract_z
_atom_site_occupancy
Sb1 0.675 0.125 0.250 1
Sb2 0.075 0.625 0.250 1
Sb3 0.375 0.325 0.750 1
Sb4 0.875 0.925 0.750 1
Nb1 0.000 0.000 0.000 1
Nb2 0.750 0.250 0.500 1
Sr1 0.500 0.500 0.000 1
Sr2 0.250 0.750 0.500 1
# Volume = 246 Å³ per cell
# Space-group type = I-42d (122)

Number 1: energy -20.57 eV for the cell shown, ΔE to the lowest computed polymorph 0.00 kcal/mol of atoms, E_form (uncorrected) -0.142 eV/atom. Number 2: energy -40.95 eV for the cell shown, ΔE to the lowest computed polymorph 0.53 kcal/mol of atoms, E_form (uncorrected) -0.119 eV/atom.